[1]
A plane-wave DFT calculation with PBE was carried out for an optimized crystal structure of AlAsSe.

As for the formation energy (no corrections): 0.072 eV/atom. The value obtained for the total magnetization is 0.000 μB per formula unit. The value obtained for the uncorrected energy is -3.89 eV/atom.

It has space group Fmm2 (No. 42), with a = 3.555 Å, b = 5.406 Å, c = 13.834 Å, α = 90.00°, β = 90.00° and γ = 90.00°. The inequivalent atoms are Al at (0.000, 0.000, 0.000), As at (0.000, 0.000, 0.361) and Se at (0.000, 0.000, 0.622).

[2]
A plane-wave DFT calculation with PBE was carried out for an optimized crystal structure of AlAs2Se.

As for the formation energy (no corrections): 0.122 eV/atom. Its energy above the most stable polymorph in this dataset is 37.1 kJ per mole of atoms. The value obtained for the total magnetization is 0.000 μB per formula unit. The value obtained for the uncorrected energy is -4.01 eV/atom.

It has space group I-42d (No. 122), with a = 5.553 Å, b = 5.553 Å, c = 13.509 Å, α = 90.00°, β = 90.00° and γ = 90.00°. The inequivalent atoms are Al at (0.000, 0.000, 0.000), As at (0.232, 0.250, 0.125) and Se at (0.000, 0.000, 0.500).

[3]
A plane-wave DFT calculation with PBE was carried out for an optimized crystal structure of AlAs2Se.

As for the formation energy (no corrections): 0.201 eV/atom. Its energy above the most stable polymorph in this dataset is 44.8 kJ per mole of atoms. The value obtained for the total magnetization is 0.000 μB per formula unit. The value obtained for the uncorrected energy is -3.93 eV/atom.

It has space group R-3m (No. 166, hexagonal axes), with a = 2.9863 Å, b = 2.9863 Å, c = 32.4066 Å, α = 90.00°, β = 90.00° and γ = 120.00°. The inequivalent atoms are Al at (0.0000, 0.0000, 0.0000), As at (0.0000, 0.0000, 0.2705) and Se at (0.0000, 0.0000, 0.5000).

[4]
A plane-wave DFT calculation with PBE was carried out for an optimized crystal structure of AlAsSe.

As for the formation energy (no corrections): -0.152 eV/atom. The value obtained for the total magnetization is 0.000 μB per formula unit. The value obtained for the uncorrected energy is -4.11 eV/atom.

It has space group P3m1 (No. 156), with a = 3.7169 Å, b = 3.7169 Å, c = 5.1318 Å, α = 90.00°, β = 90.00° and γ = 120.00°. The inequivalent atoms are Al at (0.0000, 0.0000, 0.0000), As at (0.3333, 0.6667, 0.2963) and Se at (0.6667, 0.3333, 0.7190).

[5]
A plane-wave DFT calculation with PBE was carried out for an optimized crystal structure of AlAs2Se.

As for the formation energy (no corrections): 0.234 eV/atom. Its energy above the most stable polymorph in this dataset is 47.9 kJ per mole of atoms. The value obtained for the total magnetization is 0.000 μB per formula unit. The value obtained for the uncorrected energy is -3.90 eV/atom.

It has space group Cmmm (No. 65), with a = 3.660 Å, b = 4.266 Å, c = 10.834 Å, α = 90.00°, β = 90.00° and γ = 90.00°. The inequivalent atoms are Al at (0.000, 0.000, 0.000), As at (0.000, 0.500, 0.187) and Se at (0.000, 0.000, 0.500).

[6]
A plane-wave DFT calculation with PBE was carried out for an optimized crystal structure of AlAs2Se.

As for the formation energy (no corrections): 0.235 eV/atom. Its energy above the most stable polymorph in this dataset is 48.1 kJ per mole of atoms. The value obtained for the total magnetization is 0.000 μB per formula unit. The value obtained for the uncorrected energy is -3.90 eV/atom.

It has space group P4/mmm (No. 123), with a = 3.744 Å, b = 3.744 Å, c = 5.690 Å, α = 90.00°, β = 90.00° and γ = 90.00°. The inequivalent atoms are Al at (0.000, 0.000, 0.000), As at (0.500, 0.500, 0.217) and Se at (0.000, 0.000, 0.500).